[1]
The following is a DFT calculation (PBE) of LaZn3Au after structural relaxation.

Structure (POSCAR):
```
LaZn3Au
1.0
5.7826 0.0000 0.0000
0.0000 5.7826 0.0000
0.0000 0.0000 5.7826
Au La Zn
1 1 3
Direct
0.5000 0.5000 0.5000
0.0000 0.0000 0.0000
0.0000 0.5000 0.0000
0.0000 0.0000 0.5000
0.5000 0.0000 0.0000
```

Results
**Total magnetization**: 0.00 μB/cell
**Space group**: Pm-3m
**ρ**: 4.6 Mg/m³
**Energy of formation**: 5.078 eV/f.u.
**Relative energy among the computed polymorphs**: 1.4693 eV/atom

***

[2]
The following is a DFT calculation (PBE) of BaAs2F8 after structural relaxation.

Structure (POSCAR):
```
BaAs2F8
1.0
6.6322 -0.1415 -0.1073
-0.1286 5.7614 0.9901
-0.1286 2.5049 5.2820
F As Ba
8 2 1
Direct
0.8144 0.9516 0.4456
0.6269 0.8550 0.8550
0.7661 0.4999 0.4999
0.1856 0.5544 0.0484
0.8144 0.4456 0.9516
0.3731 0.1450 0.1450
0.1856 0.0484 0.5544
0.2339 0.5001 0.5001
0.6401 0.6657 0.6657
0.3599 0.3343 0.3343
0.0000 0.0000 0.0000
```

Results
**Total magnetization**: 0.00 μB/cell
**Space group**: C2/m
**ρ**: 3.9 Mg/m³
**Formation energy from raw total energies**: -2741 kJ/mol of formula units